# 1
Pr3AgRu | PBE | optimized geometry

abc: 5.484 5.484 5.484
angles: 90.00 90.00 90.00
Space group Pm-3m (No. 221)
Inequivalent atoms, fractional coordinates:
Pr: 0.000 0.000 0.500 [3 per cell]
Ag: 0.500 0.500 0.500 [1 per cell]
Ru: 0.000 0.000 0.000 [1 per cell]

Results
Total magnetic moment = 0.00 μB/f.u.
Energy above the lowest structure with this stoichiometry = 1.24 eV per formula unit
Crystal system = cubic
Energy relative to the elements = 45 meV/atom
Total DFT energy (no corrections) = -5.248 eV per atom



# 2
InAs2Pb | PBE | optimized geometry

abc: 7.707 7.716 3.283
angles: 90.00 90.21 90.00
Space group C2/m (No. 12)
Inequivalent atoms, fractional coordinates:
In: 0.000 0.000 0.000 [2 per cell]
As: 0.250 0.250 0.500 [4 per cell]
Pb: 0.000 0.500 0.000 [2 per cell]

Results
Total magnetic moment = 0.00 μB/f.u.
Energy above the lowest structure with this stoichiometry = 0.79 eV per formula unit
Crystal system = monoclinic
Energy relative to the elements = 188 meV/atom
Total DFT energy (no corrections) = -3.748 eV per atom



# 3
NaTb3Tl4 | PBE | optimized geometry

abc: 5.3342 5.3342 26.5855
angles: 90.00 90.00 120.00
Space group R-3m (No. 166, hexagonal axes)
Inequivalent atoms, fractional coordinates:
Na: 0.0000 0.0000 0.0000 [3 per cell]
Tb: 0.0000 0.0000 0.2541 [6 per cell]
Tb: 0.0000 0.0000 0.5000 [3 per cell]
Tl: 0.0000 0.0000 0.1246 [6 per cell]
Tl: 0.0000 0.0000 0.3749 [6 per cell]

Results
Total magnetic moment = 0.00 μB/f.u.
Crystal system = trigonal
Energy relative to the elements = -297 meV/atom
Total DFT energy (no corrections) = -3.381 eV per atom



# 4
K2ZrBeTl | PBE | optimized geometry

abc: 6.969 6.969 5.535
angles: 90.00 90.00 90.00
Space group P4/mmm (No. 123)
Inequivalent atoms, fractional coordinates:
K: 0.000 0.500 0.000 [2 per cell]
Zr: 0.000 0.000 0.000 [1 per cell]
Be: 0.500 0.500 0.500 [1 per cell]
Tl: 0.000 0.000 0.500 [1 per cell]

Results
Total magnetic moment = 1.87 μB/f.u.
Crystal system = tetragonal
Energy relative to the elements = 1403 meV/atom
Total DFT energy (no corrections) = -1.964 eV per atom



# 5
TiAl3Hg | PBE | optimized geometry

abc: 5.099 5.099 5.099
angles: 90.00 90.00 90.00
Space group Pm-3m (No. 221)
Inequivalent atoms, fractional coordinates:
Ti: 0.000 0.000 0.000 [1 per cell]
Al: 0.000 0.000 0.500 [3 per cell]
Hg: 0.500 0.500 0.500 [1 per cell]

Results
Total magnetic moment = 2.25 μB/f.u.
Energy above the lowest structure with this stoichiometry = 0.00 eV per formula unit
Crystal system = cubic
Energy relative to the elements = 784 meV/atom
Total DFT energy (no corrections) = -3.100 eV per atom



# 6
CaReRh2 | PBE | optimized geometry

abc: 3.228 4.312 4.786
angles: 90.00 90.00 90.00
Space group Pmmm (No. 47)
Inequivalent atoms, fractional coordinates:
Ca: 0.000 0.000 0.000 [1 per cell]
Re: 0.500 0.000 0.500 [1 per cell]
Rh: 0.000 0.500 0.500 [1 per cell]
Rh: 0.500 0.500 0.000 [1 per cell]

Results
Total magnetic moment = 0.74 μB/f.u.
Energy above the lowest structure with this stoichiometry = 2.17 eV per formula unit
Crystal system = orthorhombic
Energy relative to the elements = 478 meV/atom
Total DFT energy (no corrections) = -6.810 eV per atom



# 7
PmSiCl | PBE | optimized geometry

abc: 4.0796 4.0796 32.6253
angles: 90.00 90.00 120.00
Space group R-3m (No. 166, hexagonal axes)
Inequivalent atoms, fractional coordinates:
Pm: 0.0000 0.0000 0.0609 [6 per cell]
Si: 0.0000 0.0000 0.3361 [6 per cell]
Cl: 0.0000 0.0000 0.2208 [6 per cell]

Results
Total magnetic moment = 0.00 μB/f.u.
Crystal system = trigonal
Total DFT energy (no corrections) = -5.410 eV per atom
Formation energy without anion corrections = -1.403 eV/atom



# 8
Li3CaZn3 | PBE | optimized geometry

abc: 6.836 6.836 6.836
angles: 90.00 90.00 90.00
Space group Pm-3n (No. 223)
Inequivalent atoms, fractional coordinates:
Li: 0.000 0.250 0.500 [6 per cell]
Ca: 0.000 0.000 0.000 [2 per cell]
Zn: 0.000 0.500 0.250 [6 per cell]

Results
Total magnetic moment = 0.00 μB/f.u.
Crystal system = cubic
Energy relative to the elements = 185 meV/atom
Total DFT energy (no corrections) = -1.467 eV per atom